Entry 1:
# CdRe3O GGA-PBE optimized geometry
# Excess energy over the best structure of this formula in the dataset: 0.000 eV/atom
# Uncorrected formation energy: 0.722 eV per atom
# SG: No. 221
data_CdRe3O
_space_group_name_H-M_alt 'P 1'
_space_group_IT_number 1
_space_group_name_Hall 'P 1'
_cell_length_a 4.161
_cell_length_b 4.161
_cell_length_c 4.161
_cell_angle_alpha 90.00
_cell_angle_beta 90.00
_cell_angle_gamma 90.00
loop_
_atom_site_label
_atom_site_type_symbol
_atom_site_fract_x
_atom_site_fract_y
_atom_site_fract_z
_atom_site_occupancy
Re1 Re 0.000 0.000 0.500 1
Cd1 Cd 0.500 0.500 0.500 1
O1 O 0.000 0.000 0.000 1
Re2 Re 0.500 0.000 0.000 1
Re3 Re 0.000 0.500 0.000 1

---

Entry 2:
# CdRe2O GGA-PBE optimized geometry
# Excess energy over the best structure of this formula in the dataset: 0.000 eV/atom
# Uncorrected formation energy: 0.796 eV per atom
# SG: No. 141
data_CdRe2O
_space_group_name_H-M_alt 'P 1'
_space_group_IT_number 1
_space_group_name_Hall 'P 1'
_cell_length_a 4.821
_cell_length_b 4.821
_cell_length_c 7.383
_cell_angle_alpha 70.94
_cell_angle_beta 70.94
_cell_angle_gamma 90.00
loop_
_atom_site_label
_atom_site_type_symbol
_atom_site_fract_x
_atom_site_fract_y
_atom_site_fract_z
_atom_site_occupancy
Re1 Re 0.375 0.125 0.250 1
Re2 Re 0.375 0.625 0.750 1
Cd1 Cd 0.000 0.000 0.000 1
Cd2 Cd 0.750 0.250 0.500 1
O1 O 0.250 0.750 0.500 1
Re3 Re 0.875 0.625 0.750 1
O2 O 0.500 0.500 0.000 1
Re4 Re 0.375 0.625 0.250 1

---

Entry 3:
# Cd3ReO GGA-PBE optimized geometry
# Excess energy over the best structure of this formula in the dataset: 0.719 eV/atom
# Uncorrected formation energy: 1.378 eV per atom
# SG: No. 221
data_Cd3ReO
_space_group_name_H-M_alt 'P 1'
_space_group_IT_number 1
_space_group_name_Hall 'P 1'
_cell_length_a 5.380
_cell_length_b 5.380
_cell_length_c 5.380
_cell_angle_alpha 90.00
_cell_angle_beta 90.00
_cell_angle_gamma 90.00
loop_
_atom_site_label
_atom_site_type_symbol
_atom_site_fract_x
_atom_site_fract_y
_atom_site_fract_z
_atom_site_occupancy
Re1 Re 0.000 0.000 0.000 1
Cd1 Cd 0.000 0.000 0.500 1
Cd2 Cd 0.500 0.000 0.000 1
O1 O 0.500 0.500 0.500 1
Cd3 Cd 0.000 0.500 0.000 1

---

Entry 4:
# Cd3ReO GGA-PBE optimized geometry
# Excess energy over the best structure of this formula in the dataset: 0.000 eV/atom
# Uncorrected formation energy: 0.659 eV per atom
# SG: No. 221
data_Cd3ReO
_space_group_name_H-M_alt 'P 1'
_space_group_IT_number 1
_space_group_name_Hall 'P 1'
_cell_length_a 4.496
_cell_length_b 4.496
_cell_length_c 4.496
_cell_angle_alpha 90.00
_cell_angle_beta 90.00
_cell_angle_gamma 90.00
loop_
_atom_site_label
_atom_site_type_symbol
_atom_site_fract_x
_atom_site_fract_y
_atom_site_fract_z
_atom_site_occupancy
Cd1 Cd 0.000 0.500 0.000 1
Cd2 Cd 0.500 0.000 0.000 1
O1 O 0.000 0.000 0.000 1
Re1 Re 0.500 0.500 0.500 1
Cd3 Cd 0.000 0.000 0.500 1

---

Entry 5:
# Cd2Re2O7 GGA-PBE optimized geometry
# Uncorrected formation energy: -1.313 eV per atom
# SG: No. 227
data_Cd2Re2O7
_space_group_name_H-M_alt 'P 1'
_space_group_IT_number 1
_space_group_name_Hall 'P 1'
_cell_length_a 7.342
_cell_length_b 7.342
_cell_length_c 7.342
_cell_angle_alpha 60.00
_cell_angle_beta 60.00
_cell_angle_gamma 60.00
loop_
_atom_site_label
_atom_site_type_symbol
_atom_site_fract_x
_atom_site_fract_y
_atom_site_fract_z
_atom_site_occupancy
Re1 Re 0.625 0.125 0.625 1
Cd1 Cd 0.125 0.125 0.625 1
O1 O 0.940 0.560 0.940 1
O2 O 0.310 0.310 0.690 1
O3 O 0.000 0.000 0.000 1
Re2 Re 0.625 0.625 0.125 1
O4 O 0.690 0.310 0.690 1
O5 O 0.560 0.940 0.940 1
Cd2 Cd 0.125 0.125 0.125 1
O6 O 0.310 0.690 0.690 1
O7 O 0.940 0.940 0.560 1
Cd3 Cd 0.125 0.625 0.125 1
O8 O 0.690 0.310 0.310 1
Re3 Re 0.625 0.625 0.625 1
Re4 Re 0.125 0.625 0.625 1
O9 O 0.690 0.690 0.310 1
O10 O 0.250 0.250 0.250 1
O11 O 0.310 0.690 0.310 1
O12 O 0.560 0.940 0.560 1
O13 O 0.940 0.560 0.560 1
Cd4 Cd 0.625 0.125 0.125 1
O14 O 0.560 0.560 0.940 1

---

Entry 6:
# CdRe2O GGA-PBE optimized geometry
# Excess energy over the best structure of this formula in the dataset: 0.607 eV/atom
# Uncorrected formation energy: 1.403 eV per atom
# SG: No. 225
data_CdRe2O
_space_group_name_H-M_alt 'P 1'
_space_group_IT_number 1
_space_group_name_Hall 'P 1'
_cell_length_a 4.344
_cell_length_b 4.344
_cell_length_c 4.344
_cell_angle_alpha 60.00
_cell_angle_beta 60.00
_cell_angle_gamma 60.00
loop_
_atom_site_label
_atom_site_type_symbol
_atom_site_fract_x
_atom_site_fract_y
_atom_site_fract_z
_atom_site_occupancy
O1 O 0.000 0.000 0.000 1
Re1 Re 0.750 0.750 0.750 1
Cd1 Cd 0.500 0.500 0.500 1
Re2 Re 0.250 0.250 0.250 1

---

Entry 7:
# CdRe3O GGA-PBE optimized geometry
# Excess energy over the best structure of this formula in the dataset: 3.164 eV/atom
# Uncorrected formation energy: 3.886 eV per atom
# SG: No. 221
data_CdRe3O
_space_group_name_H-M_alt 'P 1'
_space_group_IT_number 1
_space_group_name_Hall 'P 1'
_cell_length_a 4.956
_cell_length_b 4.956
_cell_length_c 4.956
_cell_angle_alpha 90.00
_cell_angle_beta 90.00
_cell_angle_gamma 90.00
loop_
_atom_site_label
_atom_site_type_symbol
_atom_site_fract_x
_atom_site_fract_y
_atom_site_fract_z
_atom_site_occupancy
O1 O 0.500 0.500 0.500 1
Re1 Re 0.000 0.000 0.500 1
Re2 Re 0.500 0.000 0.000 1
Re3 Re 0.000 0.500 0.000 1
Cd1 Cd 0.000 0.000 0.000 1

---

Entry 8:
# Cd2ReO5 GGA-PBE optimized geometry
# Uncorrected formation energy: -1.253 eV per atom
# SG: No. 63
data_Cd2ReO5
_space_group_name_H-M_alt 'P 1'
_space_group_IT_number 1
_space_group_name_Hall 'P 1'
_cell_length_a 3.808
_cell_length_b 6.125
_cell_length_c 10.853
_cell_angle_alpha 90.00
_cell_angle_beta 90.00
_cell_angle_gamma 108.11
loop_
_atom_site_label
_atom_site_type_symbol
_atom_site_fract_x
_atom_site_fract_y
_atom_site_fract_z
_atom_site_occupancy
O1 O 0.718 0.437 0.620 1
O2 O 0.718 0.437 0.880 1
O3 O 0.049 0.099 0.122 1
Re1 Re 0.843 0.686 0.750 1
Cd1 Cd 0.137 0.275 0.568 1
Cd2 Cd 0.863 0.725 0.432 1
Cd3 Cd 0.863 0.725 0.068 1
O4 O 0.049 0.099 0.378 1
O5 O 0.282 0.563 0.120 1
O6 O 0.951 0.901 0.622 1
O7 O 0.666 0.332 0.250 1
O8 O 0.951 0.901 0.878 1
Cd4 Cd 0.137 0.275 0.932 1
Re2 Re 0.157 0.314 0.250 1
O9 O 0.282 0.563 0.380 1
O10 O 0.334 0.668 0.750 1

---

Entry 9:
# Cd2ReO6 GGA-PBE optimized geometry
# Uncorrected formation energy: -1.102 eV per atom
# SG: No. 136
data_Cd2ReO6
_space_group_name_H-M_alt 'P 1'
_space_group_IT_number 1
_space_group_name_Hall 'P 1'
_cell_length_a 5.008
_cell_length_b 5.008
_cell_length_c 9.958
_cell_angle_alpha 90.00
_cell_angle_beta 90.00
_cell_angle_gamma 90.00
loop_
_atom_site_label
_atom_site_type_symbol
_atom_site_fract_x
_atom_site_fract_y
_atom_site_fract_z
_atom_site_occupancy
O1 O 0.231 0.769 0.500 1
Cd1 Cd 0.000 0.000 0.337 1
O2 O 0.683 0.683 0.362 1
Cd2 Cd 0.000 0.000 0.663 1
O3 O 0.317 0.317 0.362 1
O4 O 0.731 0.731 0.000 1
Cd3 Cd 0.500 0.500 0.163 1
O5 O 0.183 0.817 0.862 1
Re1 Re 0.500 0.500 0.500 1
O6 O 0.269 0.269 0.000 1
Cd4 Cd 0.500 0.500 0.837 1
O7 O 0.817 0.183 0.138 1
O8 O 0.683 0.683 0.638 1
Re2 Re 0.000 0.000 0.000 1
O9 O 0.317 0.317 0.638 1
O10 O 0.769 0.231 0.500 1
O11 O 0.183 0.817 0.138 1
O12 O 0.817 0.183 0.862 1

---

Entry 10:
# Cd2ReO4 GGA-PBE optimized geometry
# Uncorrected formation energy: -0.900 eV per atom
# SG: No. 121
data_Cd2ReO4
_space_group_name_H-M_alt 'P 1'
_space_group_IT_number 1
_space_group_name_Hall 'P 1'
_cell_length_a 5.806
_cell_length_b 5.806
_cell_length_c 5.421
_cell_angle_alpha 122.38
_cell_angle_beta 122.38
_cell_angle_gamma 90.00
loop_
_atom_site_label
_atom_site_type_symbol
_atom_site_fract_x
_atom_site_fract_y
_atom_site_fract_z
_atom_site_occupancy
O1 O 0.199 0.199 0.825 1
Cd1 Cd 0.750 0.250 0.500 1
Re1 Re 0.500 0.500 0.000 1
O2 O 0.374 0.801 0.175 1
Cd2 Cd 0.250 0.750 0.500 1
O3 O 0.626 0.626 0.825 1
O4 O 0.801 0.374 0.175 1

---

Entry 11:
# ScCdReO6 GGA-PBE optimized geometry
# Uncorrected formation energy: -1.973 eV per atom
# SG: No. 149
data_ScCdReO6
_space_group_name_H-M_alt 'P 1'
_space_group_IT_number 1
_space_group_name_Hall 'P 1'
_cell_length_a 5.300
_cell_length_b 5.300
_cell_length_c 4.819
_cell_angle_alpha 90.00
_cell_angle_beta 90.01
_cell_angle_gamma 60.00
loop_
_atom_site_label
_atom_site_type_symbol
_atom_site_fract_x
_atom_site_fract_y
_atom_site_fract_z
_atom_site_occupancy
Cd1 Cd 0.000 0.000 0.000 1
O1 O 0.349 0.623 0.279 1
O2 O 0.623 0.028 0.279 1
Sc1 Sc 0.667 0.667 0.500 1
O3 O 0.349 0.028 0.721 1
Re1 Re 0.333 0.333 0.500 1
O4 O 0.028 0.623 0.721 1
O5 O 0.623 0.349 0.721 1
O6 O 0.028 0.349 0.279 1